Record 1
A plane-wave DFT calculation with GGA-PBE was carried out for an optimized crystal structure of RbPaSe2Cl.

Structure (CIF):
```
data_RbPaSe2Cl
_cell_length_a 9.282
_cell_length_b 4.201
_cell_length_c 9.390
_cell_angle_alpha 90.00
_cell_angle_beta 104.82
_cell_angle_gamma 90.00
_space_group_name_H-M_alt 'P 1'
_space_group_IT_number 1
loop_
_space_group_symop_operation_xyz
'x,y,z'
loop_
_atom_site_label
_atom_site_fract_x
_atom_site_fract_y
_atom_site_fract_z
Rb1 0.240 0.250 0.321
Rb2 0.760 0.750 0.679
Pa1 0.341 0.250 0.833
Pa2 0.659 0.750 0.167
Se1 0.339 0.750 0.045
Se2 0.363 0.750 0.639
Se3 0.637 0.250 0.361
Se4 0.661 0.250 0.955
Cl1 0.046 0.250 0.758
Cl2 0.954 0.750 0.242
```

Properties
ρ   4.78 g/cm3


Record 2
A plane-wave DFT calculation with GGA-PBE was carried out for an optimized crystal structure of Rb3Pa2Se5Cl2.

Structure (CIF):
```
data_Rb3Pa2Se5Cl2
_cell_length_a 14.433
_cell_length_b 14.433
_cell_length_c 14.433
_cell_angle_alpha 157.74
_cell_angle_beta 157.74
_cell_angle_gamma 31.69
_space_group_name_H-M_alt 'P 1'
_space_group_IT_number 1
loop_
_space_group_symop_operation_xyz
'x,y,z'
loop_
_atom_site_label
_atom_site_fract_x
_atom_site_fract_y
_atom_site_fract_z
Rb1 0.000 0.000 0.000
Rb2 0.182 0.182 0.000
Rb3 0.818 0.818 0.000
Pa1 0.401 0.401 0.000
Pa2 0.599 0.599 0.000
Se1 0.101 0.601 0.500
Se2 0.399 0.899 0.500
Se3 0.500 0.500 0.000
Se4 0.601 0.101 0.500
Se5 0.899 0.399 0.500
Cl1 0.302 0.302 0.000
Cl2 0.698 0.698 0.000
```

Properties
ρ   4.56 g/cm3


Record 3
A plane-wave DFT calculation with GGA-PBE was carried out for an optimized crystal structure of RbPaTlCl6.

Structure (CIF):
```
data_RbPaTlCl6
_cell_length_a 7.993
_cell_length_b 7.993
_cell_length_c 12.433
_cell_angle_alpha 90.00
_cell_angle_beta 90.00
_cell_angle_gamma 120.00
_space_group_name_H-M_alt 'P 1'
_space_group_IT_number 1
loop_
_space_group_symop_operation_xyz
'x,y,z'
loop_
_atom_site_label
_atom_site_fract_x
_atom_site_fract_y
_atom_site_fract_z
Rb1 0.333 0.667 0.250
Rb2 0.667 0.333 0.750
Pa1 0.333 0.667 0.750
Pa2 0.667 0.333 0.250
Tl1 0.000 0.000 0.000
Tl2 0.000 0.000 0.500
Cl1 0.062 0.390 0.629
Cl2 0.062 0.672 0.871
Cl3 0.328 0.390 0.871
Cl4 0.328 0.938 0.629
Cl5 0.390 0.062 0.129
Cl6 0.390 0.328 0.371
Cl7 0.610 0.672 0.629
Cl8 0.610 0.938 0.871
Cl9 0.672 0.062 0.371
Cl10 0.672 0.610 0.129
Cl11 0.938 0.328 0.129
Cl12 0.938 0.610 0.371
```

Properties
ρ   3.54 g/cm3


Record 4
A plane-wave DFT calculation with GGA-PBE was carried out for an optimized crystal structure of RbPaTl2Cl8.

Structure (CIF):
```
data_RbPaTl2Cl8
_cell_length_a 6.920
_cell_length_b 9.626
_cell_length_c 7.552
_cell_angle_alpha 90.00
_cell_angle_beta 92.01
_cell_angle_gamma 90.00
_space_group_name_H-M_alt 'P 1'
_space_group_IT_number 1
loop_
_space_group_symop_operation_xyz
'x,y,z'
loop_
_atom_site_label
_atom_site_fract_x
_atom_site_fract_y
_atom_site_fract_z
Rb1 0.000 0.000 0.000
Pa1 0.000 0.500 0.000
Tl1 0.500 0.226 0.500
Tl2 0.500 0.774 0.500
Cl1 0.134 0.309 0.799
Cl2 0.134 0.691 0.799
Cl3 0.312 0.500 0.188
Cl4 0.361 0.000 0.278
Cl5 0.639 0.000 0.722
Cl6 0.688 0.500 0.812
Cl7 0.866 0.309 0.201
Cl8 0.866 0.691 0.201
```

Properties
ρ   3.33 g/cm3


Q: Which size of the total moment values were calculated for the entries above? A: 2.00 1.08 2.02 0.00, in μB per cell.
Q: Which VASP energy values were calculated for the entries above? A: -5.43 -5.13 -4.42 -4.10, in eV/atom.